1.
! GaCu6Cl3 PBE optimized geometry; values from VASP
&SYSTEM
  ibrav = 0, nat = 10, ntyp = 3
/
ATOMIC_SPECIES
Cl 35.45 Cl.upf
Cu 63.55 Cu.upf
Ga 69.72 Ga.upf
CELL_PARAMETERS angstrom
4.338 -4.763 -1.185
-1.498 -1.923 6.080
-4.986 0.535 -4.214
ATOMIC_POSITIONS crystal
Cl 0.500 0.500 0.000
Cl 0.750 0.250 0.500
Cl 0.250 0.750 0.500
Cu 0.254 0.254 0.000
Cu 0.746 0.746 0.000
Cu 0.327 0.000 0.327
Cu 0.000 0.327 0.327
Cu 0.673 0.000 0.673
Cu 0.000 0.673 0.673
Ga 0.000 0.000 0.000
! Electronic total energy in eV per atom: -2.761

---

2.
! Nb2P5 PBE optimized geometry; values from VASP
&SYSTEM
  ibrav = 0, nat = 28, ntyp = 2
/
ATOMIC_SPECIES
Nb 92.91 Nb.upf
P 30.97 P.upf
CELL_PARAMETERS angstrom
-5.449 -13.735 -8.080
3.051 -0.436 -1.317
2.048 -4.474 6.225
ATOMIC_POSITIONS crystal
Nb 0.405 0.250 0.164
Nb 0.226 0.250 0.172
Nb 0.726 0.250 0.328
Nb 0.905 0.250 0.336
Nb 0.095 0.750 0.664
Nb 0.274 0.750 0.672
Nb 0.774 0.750 0.828
Nb 0.595 0.750 0.836
P 0.684 0.250 0.006
P 0.960 0.250 0.038
P 0.522 0.750 0.120
P 0.814 0.750 0.152
P 0.115 0.750 0.184
P 0.615 0.750 0.316
P 0.314 0.750 0.348
P 0.022 0.750 0.380
P 0.460 0.250 0.462
P 0.184 0.250 0.494
P 0.816 0.750 0.506
P 0.540 0.750 0.538
P 0.978 0.250 0.620
P 0.686 0.250 0.652
P 0.385 0.250 0.684
P 0.885 0.250 0.816
P 0.186 0.250 0.848
P 0.478 0.250 0.880
P 0.040 0.750 0.962
P 0.316 0.750 0.994
! Electronic total energy in eV per atom: -7.310

---

3.
! Te2W PBE optimized geometry; values from VASP
&SYSTEM
  ibrav = 0, nat = 6, ntyp = 2
/
ATOMIC_SPECIES
Te 127.60 Te.upf
W 183.84 W.upf
CELL_PARAMETERS angstrom
4.975 0.048 3.217
0.163 -2.752 5.244
3.162 -4.969 0.641
ATOMIC_POSITIONS crystal
Te 0.625 0.625 0.125
Te 0.625 0.125 0.625
Te 0.125 0.625 0.625
Te 0.625 0.625 0.625
W 0.000 0.000 0.000
W 0.250 0.250 0.250
! Electronic total energy in eV per atom: -4.317

---

4.
! LiNbReBi PBE optimized geometry; values from VASP
&SYSTEM
  ibrav = 0, nat = 4, ntyp = 4
/
ATOMIC_SPECIES
Bi 208.98 Bi.upf
Li 6.94 Li.upf
Nb 92.91 Nb.upf
Re 186.21 Re.upf
CELL_PARAMETERS angstrom
0.000 3.251 3.251
3.251 0.000 3.251
3.251 3.251 0.000
ATOMIC_POSITIONS crystal
Bi 0.000 0.000 0.000
Li 0.750 0.750 0.750
Nb 0.500 0.500 0.500
Re 0.250 0.250 0.250
! Excess energy over the best structure of this formula in the dataset in meV per atom: 0.0
! Electronic total energy in eV per atom: -6.960

---

5.
! ZnAgSeO PBE optimized geometry; values from VASP
&SYSTEM
  ibrav = 0, nat = 8, ntyp = 4
/
ATOMIC_SPECIES
Ag 107.87 Ag.upf
O 16.00 O.upf
Se 78.96 Se.upf
Zn 65.41 Zn.upf
CELL_PARAMETERS angstrom
1.229 1.139 2.392
4.853 -2.322 -1.388
2.494 6.869 -2.770
ATOMIC_POSITIONS crystal
Ag 0.848 0.250 0.305
Ag 0.152 0.750 0.695
O 0.000 0.000 0.000
O 0.000 0.500 0.000
Se 0.807 0.750 0.386
Se 0.193 0.250 0.614
Zn 0.469 0.750 0.061
Zn 0.531 0.250 0.939
! Excess energy over the best structure of this formula in the dataset in meV per atom: 148.8
! Electronic total energy in eV per atom: -3.537

---

6.
! Ac PBE optimized geometry; values from VASP
&SYSTEM
  ibrav = 0, nat = 1, ntyp = 1
/
ATOMIC_SPECIES
Ac 227.00 Ac.upf
CELL_PARAMETERS angstrom
-0.815 3.849 -0.115
-3.140 1.204 -2.045
-0.576 -1.951 3.369
ATOMIC_POSITIONS crystal
Ac 0.000 0.000 0.000
! Excess energy over the best structure of this formula in the dataset in meV per atom: 16.8
! Electronic total energy in eV per atom: -4.089
! E_form in eV per atom: 0.02

---

7.
! Ta3GeB PBE optimized geometry; values from VASP
&SYSTEM
  ibrav = 0, nat = 10, ntyp = 3
/
ATOMIC_SPECIES
B 10.81 B.upf
Ge 72.64 Ge.upf
Ta 180.95 Ta.upf
CELL_PARAMETERS angstrom
-4.945 -2.127 -1.268
3.943 0.180 3.874
-3.802 6.717 3.558
ATOMIC_POSITIONS crystal
B 0.000 0.000 0.000
B 0.000 0.000 0.500
Ge 0.255 0.745 0.250
Ge 0.745 0.255 0.750
Ta 0.636 0.364 0.057
Ta 0.947 0.053 0.250
Ta 0.636 0.364 0.443
Ta 0.364 0.636 0.557
Ta 0.053 0.947 0.750
Ta 0.364 0.636 0.943
! Electronic total energy in eV per atom: -9.866

---

8.
! UPaB PBE optimized geometry; values from VASP
&SYSTEM
  ibrav = 0, nat = 3, ntyp = 3
/
ATOMIC_SPECIES
B 10.81 B.upf
Pa 231.04 Pa.upf
U 238.03 U.upf
CELL_PARAMETERS angstrom
0.000 2.981 2.981
2.981 0.000 2.981
2.981 2.981 0.000
ATOMIC_POSITIONS crystal
B 0.000 0.000 0.000
Pa 0.250 0.250 0.250
U 0.750 0.750 0.750
! Excess energy over the best structure of this formula in the dataset in meV per atom: 0.0
! Electronic total energy in eV per atom: -8.999

---

9.
! SrPrAg PBE optimized geometry; values from VASP
&SYSTEM
  ibrav = 0, nat = 3, ntyp = 3
/
ATOMIC_SPECIES
Ag 107.87 Ag.upf
Pr 140.91 Pr.upf
Sr 87.62 Sr.upf
CELL_PARAMETERS angstrom
2.282 -4.017 -2.638
2.810 -3.663 2.644
-1.897 -4.943 0.521
ATOMIC_POSITIONS crystal
Ag 0.000 0.000 0.000
Pr 0.250 0.250 0.250
Sr 0.750 0.750 0.750
! Excess energy over the best structure of this formula in the dataset in meV per atom: 0.0
! Electronic total energy in eV per atom: -3.056

---

10.
! SrUIr PBE optimized geometry; values from VASP
&SYSTEM
  ibrav = 0, nat = 3, ntyp = 3
/
ATOMIC_SPECIES
Ir 192.22 Ir.upf
Sr 87.62 Sr.upf
U 238.03 U.upf
CELL_PARAMETERS angstrom
3.350 1.516 3.247
1.253 4.739 0.200
-1.365 2.739 3.835
ATOMIC_POSITIONS crystal
Ir 0.000 0.000 0.000
Sr 0.750 0.750 0.750
U 0.250 0.250 0.250
! Excess energy over the best structure of this formula in the dataset in meV per atom: 0.0
! Electronic total energy in eV per atom: -6.993

---

11.
! LiCd5 PBE optimized geometry; values from VASP
&SYSTEM
  ibrav = 0, nat = 6, ntyp = 2
/
ATOMIC_SPECIES
Cd 112.41 Cd.upf
Li 6.94 Li.upf
CELL_PARAMETERS angstrom
2.687 1.552 5.006
-2.687 1.552 5.006
0.000 -3.103 5.006
ATOMIC_POSITIONS crystal
Cd 0.342 0.658 0.000
Cd 0.164 0.164 0.164
Cd 0.658 0.000 0.342
Cd 0.000 0.342 0.658
Cd 0.836 0.836 0.836
Li 0.500 0.500 0.500
! Excess energy over the best structure of this formula in the dataset in meV per atom: 0.0
! Electronic total energy in eV per atom: -1.187

---

12.
! DyTlB4 PBE optimized geometry; values from VASP
&SYSTEM
  ibrav = 0, nat = 6, ntyp = 3
/
ATOMIC_SPECIES
B 10.81 B.upf
Dy 162.50 Dy.upf
Tl 204.38 Tl.upf
CELL_PARAMETERS angstrom
-2.435 0.834 4.589
0.505 5.114 1.131
-2.071 -3.442 -3.398
ATOMIC_POSITIONS crystal
B 0.587 0.262 0.325
B 0.063 0.738 0.325
B 0.937 0.262 0.675
B 0.413 0.738 0.675
Dy 0.000 0.000 0.000
Tl 0.500 0.500 0.000
! Excess energy over the best structure of this formula in the dataset in meV per atom: 0.0
! Electronic total energy in eV per atom: -5.576